1:
Density functional theory data (PBE with a Hubbard U) for a relaxed NiHF3 crystal.

```
NiHF3
1.0
3.856 0.000 0.000
0.000 3.856 0.000
0.000 0.000 3.856
Ni H F
1 1 3
Direct
0.000 0.000 0.000 Ni
0.500 0.500 0.500 H
0.000 0.000 0.500 F
0.000 0.500 0.000 F
0.500 0.000 0.000 F
```

## Properties
ρ (g cm⁻³): 3.379
Calculated volume (Å³ per cell): 57.3


2:
Density functional theory data (PBE with a Hubbard U) for a relaxed NiHF3 crystal.

```
NiHF3
1.0
3.405 0.000 0.000
0.000 3.405 0.000
0.000 0.000 3.405
Ni H F
1 1 3
Direct
0.000 0.000 0.000 Ni
0.500 0.500 0.500 H
0.000 0.500 0.500 F
0.500 0.000 0.500 F
0.500 0.500 0.000 F
```

## Properties
ρ (g cm⁻³): 4.907
Calculated volume (Å³ per cell): 39.5


3:
Density functional theory data (PBE with a Hubbard U) for a relaxed NiHF3 crystal.

```
NiHF3
1.0
1.295 -6.598 0.000
1.295 6.598 0.000
0.000 0.000 5.597
Ni H F
2 2 6
Direct
0.181 0.819 0.750 Ni
0.819 0.181 0.250 Ni
0.485 0.515 0.750 H
0.515 0.485 0.250 H
0.002 0.998 0.750 F
0.336 0.664 0.507 F
0.336 0.664 0.993 F
0.664 0.336 0.007 F
0.664 0.336 0.493 F
0.998 0.002 0.250 F
```

## Properties
ρ (g cm⁻³): 4.052
Calculated volume (Å³ per cell): 95.7


Quick one: least stable of them? 2


1:
Density functional theory data (PBE with a Hubbard U) for a relaxed NiHF crystal.

```
NiHF
1.0
8.921 0.000 0.000
0.000 2.890 0.000
0.000 0.000 4.868
Ni H F
4 4 4
Direct
0.117 0.250 0.077 Ni
0.383 0.750 0.577 Ni
0.617 0.250 0.423 Ni
0.883 0.750 0.923 Ni
0.011 0.750 0.212 H
0.489 0.250 0.712 H
0.511 0.750 0.288 H
0.989 0.250 0.788 H
0.248 0.250 0.420 F
0.252 0.750 0.920 F
0.748 0.250 0.080 F
0.752 0.750 0.580 F
```

## Properties
ρ (g cm⁻³): 4.165
Calculated volume (Å³ per cell): 125.5


2:
Density functional theory data (PBE with a Hubbard U) for a relaxed NiHF crystal.

```
NiHF
1.0
2.896 0.000 0.000
1.445 2.567 0.000
1.431 0.226 7.100
Ni H F
2 2 2
Direct
0.225 0.183 0.366 Ni
0.775 0.817 0.634 Ni
0.000 0.000 0.000 H
0.500 0.500 0.500 H
0.161 0.827 0.853 F
0.839 0.173 0.147 F
```

## Properties
ρ (g cm⁻³): 4.952
Calculated volume (Å³ per cell): 52.8


Quick one: least stable of them? 2